1.
Entry from the Alexandria database: a relaxed structure of CeDyTlRh (PBE).

Properties
Spin magnetization: 2.560 μB/cell

```
data_CeDyTlRh
_symmetry_space_group_name_H-M 'F -4 3 m'
_symmetry_Int_Tables_number 216
_symmetry_space_group_name_Hall 'F -4 2 3'
_cell_length_a 7.3203
_cell_length_b 7.3203
_cell_length_c 7.3203
_cell_angle_alpha 90.00
_cell_angle_beta 90.00
_cell_angle_gamma 90.00
loop_
_atom_site_label
_atom_site_type_symbol
_atom_site_fract_x
_atom_site_fract_y
_atom_site_fract_z
Ce1 Ce 0.0000 0.0000 0.0000
Dy1 Dy 0.0000 0.0000 0.5000
Tl1 Tl 0.2500 0.2500 0.7500
Rh1 Rh 0.2500 0.2500 0.2500
```



2.
Entry from the Alexandria database: a relaxed structure of CeDyTlRh (PBE).

Properties
Spin magnetization: 0.718 μB/cell

```
data_CeDyTlRh
_symmetry_space_group_name_H-M 'P 4 m m'
_symmetry_Int_Tables_number 99
_cell_length_a 3.4398
_cell_length_b 3.4398
_cell_length_c 8.2407
_cell_angle_alpha 90.00
_cell_angle_beta 90.00
_cell_angle_gamma 90.00
loop_
_symmetry_equiv_pos_as_xyz
'x,y,z'
'-y,x,z'
'-x,-y,z'
'y,-x,z'
'-x,y,z'
'y,x,z'
'x,-y,z'
'-y,-x,z'
loop_
_atom_site_label
_atom_site_type_symbol
_atom_site_fract_x
_atom_site_fract_y
_atom_site_fract_z
Ce1 Ce 0.0000 0.0000 0.0000
Dy1 Dy 0.0000 0.0000 0.5825
Tl1 Tl 0.5000 0.5000 0.2960
Rh1 Rh 0.5000 0.5000 0.7850
```



Least stable structure: 1